Below is a relaxed CdRuW crystal, with properties calculated at the PBE level.

```
data_CdRuW
_space_group_name_H-M_alt 'I 4 m m'
_space_group_IT_number 107
_space_group_name_Hall 'I 4 -2'
_cell_length_a 2.995
_cell_length_b 2.995
_cell_length_c 11.459
_cell_angle_alpha 90.00
_cell_angle_beta 90.00
_cell_angle_gamma 90.00
loop_
_atom_site_label
_atom_site_type_symbol
_atom_site_fract_x
_atom_site_fract_y
_atom_site_fract_z
Cd1 Cd 0.000 0.000 0.000
Ru1 Ru 0.000 0.000 0.318
W1 W 0.000 0.000 0.692
```

Values from the calculation:
ΔE_f: 263 meV per atom